Density functional theory data (PBE+U) for crystalline Na6NiO4 at its relaxed geometry.

Unit cell a=7.652 b=13.243 c=5.890 alpha=90.00 beta=90.03 gamma=90.00
Space group Cc (No. 9)
Unique sites:
Na 0.000 0.038 0.000 x4
Na 0.000 0.357 0.330 x4
Na 0.193 0.231 0.996 x4
Na 0.211 0.429 0.830 x4
Na 0.288 0.071 0.328 x4
Na 0.301 0.267 0.501 x4
Ni 0.497 0.334 0.107 x4
O 0.003 0.168 0.270 x4
O 0.003 0.310 0.717 x4
O 0.217 0.096 0.716 x4
O 0.281 0.407 0.220 x4

Computed properties:
The offset from the most stable computed form is 0 meV/atom. The total energy comes out at -43.3 eV/f.u.